# 1
A geometry-optimized Al2Zn2Ag structure. Source: Alexandria, functional PBE-GGA.

Summary:
energy = -0.17904 Ry/atom
mass density = 5.6 g/cm³
energy above the lowest structure with this stoichiometry = 151 meV/atom

Structure (CIF):
```
data_Al2Zn2Ag
_chemical_formula_sum 'Al4 Zn4 Ag2'
_cell_length_a 7.2181
_cell_length_b 7.2181
_cell_length_c 3.3346
_cell_angle_alpha 90.00
_cell_angle_beta 90.00
_cell_angle_gamma 90.00
_space_group_name_H-M_alt 'P 4/m b m'
_space_group_IT_number 127
_space_group_name_Hall '-P 4 2ab'
loop_
_atom_site_label
_atom_site_type_symbol
_atom_site_fract_x
_atom_site_fract_y
_atom_site_fract_z
_atom_site_occupancy
Al1 Al 0.1306 0.3694 0.0000 1
Zn1 Zn 0.1717 0.6717 0.5000 1
Ag1 Ag 0.0000 0.0000 0.0000 1
```

=====

# 2
A geometry-optimized Li2Ca2CeTl2 structure. Source: Alexandria, functional PBE-GGA.

Summary:
energy = -0.20801 Ry/atom
mass density = 5.4 g/cm³

Structure (CIF):
```
data_Li2Ca2CeTl2
_chemical_formula_sum 'Li6 Ca6 Ce3 Tl6'
_cell_length_a 4.9823
_cell_length_b 4.9823
_cell_length_c 27.7147
_cell_angle_alpha 90.00
_cell_angle_beta 90.00
_cell_angle_gamma 120.00
_space_group_name_H-M_alt 'R -3 m'
_space_group_IT_number 166
_space_group_name_Hall '-R 3 2"'
loop_
_atom_site_label
_atom_site_type_symbol
_atom_site_fract_x
_atom_site_fract_y
_atom_site_fract_z
_atom_site_occupancy
Li1 Li 0.0000 0.0000 0.1058 1
Ca1 Ca 0.0000 0.0000 0.3747 1
Ce1 Ce 0.0000 0.0000 0.5000 1
Tl1 Tl 0.0000 0.0000 0.2316 1
```

=====

# 3
A geometry-optimized ZnFe6Co structure. Source: Alexandria, functional PBE-GGA.

Summary:
energy = -0.54309 Ry/atom
mass density = 8.0 g/cm³

Structure (CIF):
```
data_ZnFe6Co
_chemical_formula_sum 'Zn8 Fe48 Co8'
_cell_length_a 5.7945
_cell_length_b 11.4058
_cell_length_c 11.4903
_cell_angle_alpha 90.00
_cell_angle_beta 90.00
_cell_angle_gamma 90.00
_space_group_name_H-M_alt 'C m m m'
_space_group_IT_number 65
_space_group_name_Hall '-C 2 2'
loop_
_atom_site_label
_atom_site_type_symbol
_atom_site_fract_x
_atom_site_fract_y
_atom_site_fract_z
_atom_site_occupancy
Zn1 Zn 0.0000 0.0000 0.2458 1
Zn2 Zn 0.0000 0.2445 0.5000 1
Fe1 Fe 0.0000 0.0000 0.0000 1
Fe2 Fe 0.0000 0.0000 0.5000 1
Fe3 Fe 0.0000 0.2470 0.2499 1
Fe4 Fe 0.0000 0.5000 0.0000 1
Fe5 Fe 0.0000 0.5000 0.5000 1
Fe6 Fe 0.2415 0.3772 0.3716 1
Fe7 Fe 0.2450 0.3729 0.1223 1
Co1 Co 0.0000 0.2489 0.0000 1
Co2 Co 0.0000 0.5000 0.2468 1
```

=====

# 4
A geometry-optimized ZnCuAu structure. Source: Alexandria, functional PBE-GGA.

Summary:
energy = -0.20937 Ry/atom
mass density = 10.4 g/cm³
energy above the lowest structure with this stoichiometry = 167 meV/atom

Structure (CIF):
```
data_ZnCuAu
_chemical_formula_sum 'Zn4 Cu4 Au4'
_cell_length_a 5.9253
_cell_length_b 5.9253
_cell_length_c 5.9253
_cell_angle_alpha 90.00
_cell_angle_beta 90.00
_cell_angle_gamma 90.00
_space_group_name_H-M_alt 'F -4 3 m'
_space_group_IT_number 216
_space_group_name_Hall 'F -4 2 3'
loop_
_atom_site_label
_atom_site_type_symbol
_atom_site_fract_x
_atom_site_fract_y
_atom_site_fract_z
_atom_site_occupancy
Zn1 Zn 0.0000 0.0000 0.0000 1
Cu1 Cu 0.2500 0.2500 0.2500 1
Au1 Au 0.0000 0.0000 0.5000 1
```

=====

# 5
A geometry-optimized Pa2TaBi structure. Source: Alexandria, functional PBE-GGA.

Summary:
energy = -0.62788 Ry/atom
mass density = 14.9 g/cm³
energy above the lowest structure with this stoichiometry = 0 meV/atom

Structure (CIF):
```
data_Pa2TaBi
_chemical_formula_sum 'Pa2 Ta1 Bi1'
_cell_length_a 4.5037
_cell_length_b 4.5037
_cell_length_c 4.6770
_cell_angle_alpha 90.00
_cell_angle_beta 90.00
_cell_angle_gamma 90.00
_space_group_name_H-M_alt 'P 4/m m m'
_space_group_IT_number 123
_space_group_name_Hall '-P 4 2'
loop_
_atom_site_label
_atom_site_type_symbol
_atom_site_fract_x
_atom_site_fract_y
_atom_site_fract_z
_atom_site_occupancy
Pa1 Pa 0.0000 0.5000 0.0000 1
Ta1 Ta 0.0000 0.0000 0.5000 1
Bi1 Bi 0.5000 0.5000 0.5000 1
```

=====

# 6
A geometry-optimized BaTl6Cd structure. Source: Alexandria, functional PBE-GGA.

Summary:
energy = -0.15699 Ry/atom
mass density = 8.9 g/cm³
energy above the lowest structure with this stoichiometry = 71 meV/atom

Structure (CIF):
```
data_BaTl6Cd
_chemical_formula_sum 'Ba1 Tl6 Cd1'
_cell_length_a 6.1877
_cell_length_b 6.1877
_cell_length_c 7.1759
_cell_angle_alpha 90.00
_cell_angle_beta 90.00
_cell_angle_gamma 90.00
_space_group_name_H-M_alt 'P 4/m m m'
_space_group_IT_number 123
_space_group_name_Hall '-P 4 2'
loop_
_atom_site_label
_atom_site_type_symbol
_atom_site_fract_x
_atom_site_fract_y
_atom_site_fract_z
_atom_site_occupancy
Ba1 Ba 0.0000 0.0000 0.0000 1
Tl1 Tl 0.0000 0.5000 0.2755 1
Tl2 Tl 0.5000 0.5000 0.2330 1
Cd1 Cd 0.0000 0.0000 0.5000 1
```

=====

# 7
A geometry-optimized Ba2NdNi9 structure. Source: Alexandria, functional PBE-GGA.

Summary:
energy = -0.37328 Ry/atom
mass density = 8.0 g/cm³

Structure (CIF):
```
data_Ba2NdNi9
_chemical_formula_sum 'Ba6 Nd3 Ni27'
_cell_length_a 5.1360
_cell_length_b 5.1360
_cell_length_c 25.8775
_cell_angle_alpha 90.00
_cell_angle_beta 90.00
_cell_angle_gamma 120.00
_space_group_name_H-M_alt 'R -3 m'
_space_group_IT_number 166
_space_group_name_Hall '-R 3 2"'
loop_
_atom_site_label
_atom_site_type_symbol
_atom_site_fract_x
_atom_site_fract_y
_atom_site_fract_z
_atom_site_occupancy
Ba1 Ba 0.0000 0.0000 0.1388 1
Nd1 Nd 0.0000 0.0000 0.0000 1
Ni1 Ni 0.0000 0.0000 0.3322 1
Ni2 Ni 0.0000 0.0000 0.5000 1
Ni3 Ni 0.0046 0.5023 0.0746 1
```

=====

# 8
A geometry-optimized Zr6As2N structure. Source: Alexandria, functional PBE-GGA.

Summary:
formation energy without anion corrections = -1.02 eV/atom
energy = -0.63796 Ry/atom
mass density = 7.0 g/cm³

Structure (CIF):
```
data_Zr6As2N
_chemical_formula_sum 'Zr12 As4 N2'
_cell_length_a 10.9432
_cell_length_b 3.5705
_cell_length_c 8.6676
_cell_angle_alpha 90.00
_cell_angle_beta 91.19
_cell_angle_gamma 90.00
_space_group_name_H-M_alt 'C 1 2/m 1'
_space_group_IT_number 12
_space_group_name_Hall '-C 2y'
loop_
_atom_site_label
_atom_site_type_symbol
_atom_site_fract_x
_atom_site_fract_y
_atom_site_fract_z
_atom_site_occupancy
Zr1 Zr 0.0556 0.0000 0.2503 1
Zr2 Zr 0.1320 0.5000 0.5448 1
Zr3 Zr 0.1378 0.5000 0.9485 1
As1 As 0.2453 0.0000 0.7506 1
N1 N 0.0000 0.0000 0.5000 1
```

=====

# 9
A geometry-optimized Mo4IrAu structure. Source: Alexandria, functional PBE-GGA.

Summary:
energy = -0.65500 Ry/atom
mass density = 13.0 g/cm³

Structure (CIF):
```
data_Mo4IrAu
_chemical_formula_sum 'Mo16 Ir4 Au4'
_cell_length_a 7.3280
_cell_length_b 7.3280
_cell_length_c 7.3280
_cell_angle_alpha 90.00
_cell_angle_beta 90.00
_cell_angle_gamma 90.00
_space_group_name_H-M_alt 'F -4 3 m'
_space_group_IT_number 216
_space_group_name_Hall 'F -4 2 3'
loop_
_atom_site_label
_atom_site_type_symbol
_atom_site_fract_x
_atom_site_fract_y
_atom_site_fract_z
_atom_site_occupancy
Mo1 Mo 0.1240 0.1240 0.1240 1
Ir1 Ir 0.0000 0.0000 0.5000 1
Au1 Au 0.2500 0.2500 0.7500 1
```

=====

# 10
A geometry-optimized Cs2Sc2MnS6 structure. Source: Alexandria, functional PBE-GGA.

Summary:
formation energy without anion corrections = -1.37 eV/atom
energy = -0.42360 Ry/atom
mass density = 3.5 g/cm³

Structure (CIF):
```
data_Cs2Sc2MnS6
_chemical_formula_sum 'Cs4 Sc4 Mn2 S12'
_cell_length_a 6.4338
_cell_length_b 11.0694
_cell_length_c 8.4657
_cell_angle_alpha 90.00
_cell_angle_beta 105.83
_cell_angle_gamma 90.00
_space_group_name_H-M_alt 'C 1 2/m 1'
_space_group_IT_number 12
_space_group_name_Hall '-C 2y'
loop_
_atom_site_label
_atom_site_type_symbol
_atom_site_fract_x
_atom_site_fract_y
_atom_site_fract_z
_atom_site_occupancy
Cs1 Cs 0.0000 0.1698 0.0000 1
Sc1 Sc 0.0000 0.3323 0.5000 1
Mn1 Mn 0.0000 0.0000 0.5000 1
S1 S 0.2167 0.1544 0.6677 1
S2 S 0.2484 0.5000 0.6651 1
```

=====

# 11
A geometry-optimized K2YTa structure. Source: Alexandria, functional PBE-GGA.

Summary:
energy = -0.28289 Ry/atom
mass density = 4.3 g/cm³
energy above the lowest structure with this stoichiometry = 593 meV/atom

Structure (CIF):
```
data_K2YTa
_chemical_formula_sum 'K8 Y4 Ta4'
_cell_length_a 4.4462
_cell_length_b 4.4462
_cell_length_c 27.4474
_cell_angle_alpha 90.00
_cell_angle_beta 90.00
_cell_angle_gamma 90.00
_space_group_name_H-M_alt 'I -4 2 d'
_space_group_IT_number 122
_space_group_name_Hall 'I -4 2bw'
loop_
_atom_site_label
_atom_site_type_symbol
_atom_site_fract_x
_atom_site_fract_y
_atom_site_fract_z
_atom_site_occupancy
K1 K 0.2435 0.2500 0.1250 1
Y1 Y 0.0000 0.0000 0.5000 1
Ta1 Ta 0.0000 0.0000 0.0000 1
```

=====

# 12
A geometry-optimized La7OsI12 structure. Source: Alexandria, functional PBE-GGA.

Summary:
formation energy without anion corrections = -1.34 eV/atom
energy = -0.33457 Ry/atom
mass density = 5.1 g/cm³

Structure (CIF):
```
data_La7OsI12
_chemical_formula_sum 'La21 Os3 I36'
_cell_length_a 16.3869
_cell_length_b 16.3869
_cell_length_c 11.2719
_cell_angle_alpha 90.00
_cell_angle_beta 90.00
_cell_angle_gamma 120.00
_space_group_name_H-M_alt 'R -3'
_space_group_IT_number 148
_space_group_name_Hall '-R 3'
loop_
_atom_site_label
_atom_site_type_symbol
_atom_site_fract_x
_atom_site_fract_y
_atom_site_fract_z
_atom_site_occupancy
La1 La 0.0000 0.0000 0.0000 1
La2 La 0.0419 0.1593 0.3546 1
Os1 Os 0.0000 0.0000 0.5000 1
I1 I 0.0211 0.5868 0.1590 1
I2 I 0.0485 0.1805 0.8394 1
```